No. 1
A plane-wave DFT calculation with PBE was carried out for BaCu2F8 after structural relaxation.

total magnetization: 0.365 μB per atom
space group: P4/mmm, No. 123
formation energy (no corrections): -1744.8 meV/atom
energy: -4.0253 eV per atom

abc: 5.0003 5.0003 6.3305
angles: 90.00 90.00 90.00
Closest atoms and distances in Å follow each position.
Positions (direct):
Cu1 0.5000 0.0000 0.0000  8 F 2.13
F1 0.7525 0.7525 0.1884  2 Cu 2.13, 1 F 2.39
F2 0.2475 0.2475 0.8116  2 Cu 2.13, 1 F 2.39
Ba1 0.5000 0.5000 0.5000  8 F 2.66
F3 0.2475 0.7525 0.8116  2 Cu 2.13, 1 F 2.39
F4 0.2475 0.2475 0.1884  2 Cu 2.13, 1 F 2.39
F5 0.7525 0.7525 0.8116  2 Cu 2.13, 1 F 2.39
Cu2 0.0000 0.5000 0.0000  8 F 2.13
F6 0.7525 0.2475 0.1884  2 Cu 2.13, 1 F 2.39
F7 0.7525 0.2475 0.8116  2 Cu 2.13, 1 F 2.39
F8 0.2475 0.7525 0.1884  2 Cu 2.13, 1 F 2.39

---

No. 2
A plane-wave DFT calculation with PBE was carried out for BaCu2F2 after structural relaxation.

total magnetization: 0.000 μB per atom
space group: P4/mbm, No. 127
formation energy (no corrections): -1023.3 meV/atom
energy: -3.7948 eV per atom
distance to the lowest polymorph of the same formula: 32.6 kJ/mol of atoms

abc: 7.2351 7.2351 3.6581
angles: 90.00 90.00 90.00
Closest atoms and distances in Å follow each position.
Positions (direct):
F1 0.2402 0.2598 0.5000  2 Cu 2.27
Ba1 0.5000 0.5000 0.0000  4 Cu 2.94, 8 F 3.15
F2 0.2598 0.7598 0.5000  2 Cu 2.27
Cu1 0.3920 0.8920 0.0000  1 Cu 2.21, 2 F 2.27
Cu2 0.6080 0.1080 0.0000  1 Cu 2.21, 2 F 2.27
F3 0.7402 0.2402 0.5000  2 Cu 2.27
Cu3 0.1080 0.3920 0.0000  1 Cu 2.21, 2 F 2.27
F4 0.7598 0.7402 0.5000  2 Cu 2.27
Cu4 0.8920 0.6080 0.0000  1 Cu 2.21, 2 F 2.27
Ba2 0.0000 0.0000 0.0000  4 Cu 2.94, 8 F 3.15

---

No. 3
A plane-wave DFT calculation with PBE was carried out for Ba2Cu3F10 after structural relaxation.

total magnetization: 0.200 μB per atom
space group: C2/m, No. 12
formation energy (no corrections): -2464.9 meV/atom
energy: -4.7880 eV per atom

abc: 5.9974 8.0886 9.8591
angles: 110.15 107.71 90.00
Closest atoms and distances in Å follow each position.
Positions (direct):
Ba1 0.6141 0.7241 0.2282  12 F 2.79-3.10
Ba2 0.7155 0.3070 0.4311  7 F 2.67-2.98
F1 0.7794 0.5000 0.0000  2 Cu 2.06
F2 0.5174 0.1811 0.0348  2 Cu 2.03
F3 0.3737 0.0265 0.2236  2 Cu 2.03
F4 0.8499 0.0265 0.2236  2 Cu 2.03
F5 0.6094 0.5181 0.6970  1 Cu 1.98
F6 0.1377 0.7560 0.2753  1 Cu 1.97
F7 0.7642 0.7262 0.5284  1 Cu 1.96
Cu1 0.1786 0.0173 0.3571  6 F 1.96-2.05
F8 0.6263 0.9735 0.7764  2 Cu 2.03
F9 0.3906 0.4819 0.3030  1 Cu 1.98
Cu2 0.7474 0.0000 0.0000  6 F 2.03-2.04
F10 0.2358 0.2738 0.4716  1 Cu 1.96
F11 0.8623 0.2440 0.7247  1 Cu 1.97
F12 0.9780 0.8201 0.9560  3 Cu 2.04-2.10
F13 0.4826 0.8189 0.9652  2 Cu 2.03
F14 0.1501 0.9735 0.7764  2 Cu 2.03
Ba3 0.2845 0.6930 0.5689  7 F 2.67-2.98
F15 0.0000 0.0000 0.5000  2 Cu 2.05
F16 0.2206 0.5000 0.0000  2 Cu 2.06
F17 0.0220 0.1799 0.0440  3 Cu 2.04-2.10
Cu3 0.0758 0.4573 0.1515  5 F 1.98-2.10
F18 0.5000 0.0000 0.5000  2 Cu 2.05
F19 0.9123 0.4819 0.3030  1 Cu 1.98
Ba4 0.3859 0.2759 0.7718  12 F 2.79-3.10
Cu4 0.8214 0.9827 0.6429  6 F 1.96-2.05
Cu5 0.2526 0.0000 0.0000  6 F 2.03-2.04
Cu6 0.9242 0.5427 0.8485  5 F 1.98-2.10
F20 0.0877 0.5181 0.6970  1 Cu 1.98

---

No. 4
A plane-wave DFT calculation with PBE was carried out for BaCu2F2 after structural relaxation.

total magnetization: 0.000 μB per atom
space group: I4/mmm, No. 139
formation energy (no corrections): -1360.8 meV/atom
energy: -4.1323 eV per atom
distance to the lowest polymorph of the same formula: 0.0 kJ/mol of atoms

abc: 4.3148 4.3148 5.5034
angles: 66.92 66.92 90.00
Closest atoms and distances in Å follow each position.
Positions (direct):
Cu1 0.3758 0.3758 0.2483  1 Cu 2.27, 4 F 2.45
F1 0.2500 0.7500 0.5000  4 Cu 2.45
Cu2 0.6242 0.6242 0.7517  1 Cu 2.27, 4 F 2.45
F2 0.7500 0.2500 0.5000  4 Cu 2.45
Ba1 0.0000 0.0000 0.0000  8 F 3.15, 10 Cu 3.26-3.44

---

No. 5
A plane-wave DFT calculation with PBE was carried out for BaCuF3 after structural relaxation.

total magnetization: 0.000 μB per atom
space group: Pm-3m, No. 221
formation energy (no corrections): -2481.0 meV/atom
energy: -4.8076 eV per atom
distance to the lowest polymorph of the same formula: 10.0 kJ/mol of atoms

abc: 4.1522 4.1522 4.1522
angles: 90.00 90.00 90.00
Closest atoms and distances in Å follow each position.
Positions (direct):
Ba1 0.5000 0.5000 0.5000  12 F 2.94
Cu1 0.0000 0.0000 0.0000  6 F 2.08
F1 0.0000 0.0000 0.5000  2 Cu 2.08
F2 0.0000 0.5000 0.0000  2 Cu 2.08
F3 0.5000 0.0000 0.0000  2 Cu 2.08

---

No. 6
A plane-wave DFT calculation with PBE was carried out for Ba6Cu11F34 after structural relaxation.

total magnetization: 0.217 μB per atom
space group: P-1, No. 2
formation energy (no corrections): -2366.2 meV/atom
energy: -4.7235 eV per atom

abc: 7.5682 10.1412 10.4056
angles: 84.14 74.49 70.49
Closest atoms and distances in Å follow each position.
Positions (direct):
F1 0.7162 0.1447 0.1337  1 Cu 1.89
Ba1 0.6378 0.9111 0.2846  9 F 2.70-2.94
F2 0.9436 0.1221 0.3012  2 Cu 1.95-1.97
F3 0.6722 0.3835 0.9227  1 Cu 1.94
F4 0.6788 0.8644 0.7710  2 Cu 1.98-2.02
F5 0.2838 0.8553 0.8663  1 Cu 1.89
Cu1 0.7401 0.7408 0.6187  4 F 1.93-1.98
F6 0.8105 0.6039 0.4825  1 Cu 1.93
Ba2 0.3622 0.0889 0.7154  9 F 2.70-2.94
Cu2 0.1874 0.0113 0.1820  4 F 1.90-2.02
F7 0.8995 0.8582 0.4611  1 Cu 1.96
F8 0.4878 0.1418 0.4364  1 Cu 1.93
Cu3 0.0000 0.0000 0.5000  4 F 1.93-1.96
F9 0.4626 0.3832 0.2451  1 Cu 1.93
F10 0.5799 0.6460 0.2621  1 Cu 1.93
Cu4 0.2599 0.2592 0.3813  4 F 1.93-1.98
F11 0.7061 0.3819 0.4005  2 Cu 1.94-1.96
F12 0.2939 0.6181 0.5995  2 Cu 1.94-1.96
Cu5 0.7042 0.2565 0.2725  4 F 1.89-1.95
Ba3 0.6689 0.6567 0.9725  9 F 2.67-2.91
F13 0.0668 0.3433 0.7950  1 Cu 1.92
F14 0.5374 0.6168 0.7549  1 Cu 1.93
F15 0.0628 0.8744 0.1667  2 Cu 1.96-1.99
F16 0.4391 0.8883 0.1077  1 Cu 1.90
F17 0.9372 0.1256 0.8333  2 Cu 1.96-1.99
F18 0.7542 0.1040 0.6127  1 Cu 1.93
Ba4 0.7826 0.3624 0.6489  8 F 2.68-2.90
Ba5 0.2174 0.6376 0.3511  8 F 2.68-2.90
F19 0.0564 0.8779 0.6988  2 Cu 1.95-1.97
F20 0.5122 0.8582 0.5636  1 Cu 1.93
F21 0.1475 0.1518 0.0056  1 Cu 1.92
F22 0.2458 0.8960 0.3873  1 Cu 1.93
Cu6 0.8126 0.9887 0.8180  4 F 1.90-2.02
F23 0.8803 0.4065 0.0902  1 Cu 1.97
Cu7 0.8184 0.5186 0.2938  4 F 1.92-1.96
Cu8 0.8993 0.2575 0.9744  4 F 1.92-1.99
Ba6 0.3311 0.3433 0.0275  9 F 2.67-2.91
Cu9 0.1816 0.4814 0.7062  4 F 1.92-1.96
F24 0.9332 0.6567 0.2050  1 Cu 1.92
F25 0.3278 0.6165 0.0773  1 Cu 1.94
F26 0.9157 0.6012 0.7114  2 Cu 1.96
F27 0.1005 0.1418 0.5389  1 Cu 1.96
F28 0.3212 0.1356 0.2290  2 Cu 1.98-2.02
F29 0.0843 0.3988 0.2886  2 Cu 1.96
F30 0.5609 0.1117 0.8923  1 Cu 1.90
F31 0.8525 0.8482 0.9944  1 Cu 1.92
F32 0.4201 0.3540 0.7379  1 Cu 1.93
F33 0.1895 0.3961 0.5175  1 Cu 1.93
Cu10 0.1007 0.7425 0.0256  4 F 1.92-1.99
Cu11 0.2958 0.7435 0.7275  4 F 1.89-1.95
F34 0.1197 0.5935 0.9098  1 Cu 1.97